10
Lattice="7.0307 0.0000 0.0000 0.0000 7.0307 0.0000 0.0000 0.0000 2.8791" Properties=species:S:1:pos:R:3 comment="TiNi2Pd2, relaxed, DFT PBE" sg=P4/mbm de_polymorph_ev_per_atom=0.143 delta_e_f_kj_per_mol_fu=-37.1 pbc="T T T"
Pd 6.0412 4.5048 0.0000
Pd 0.9895 2.5258 0.0000
Pd 4.5048 0.9895 0.0000
Pd 2.5258 6.0412 0.0000
Ni 2.4115 1.1038 1.4396
Ni 1.1038 4.6191 1.4396
Ni 4.6191 5.9269 1.4396
Ni 5.9269 2.4115 1.4396
Ti 3.5153 3.5153 0.0000
Ti 0.0000 0.0000 0.0000